# 1
Compound: KBiBPd2
Source: the Alexandria database
Functional: PBEsol
Structure: relaxed

Structure (POSCAR):
```
KBiBPd2
1.0
5.178 0.000 0.000
0.000 5.178 0.000
0.000 0.000 4.689
K Bi B Pd
1 1 1 2
direct
0.000 0.000 0.000
0.500 0.500 0.500
0.500 0.500 0.000
0.000 0.500 0.500
0.500 0.000 0.500
```

Results
ΔH_f (0 K) in eV/atom: 0.85
Total magnetic moment in μB/f.u.: 0.0
Crystal system: tetragonal


# 2
Compound: BaFe2P2
Source: the Alexandria database
Functional: PBEsol
Structure: relaxed

Structure (POSCAR):
```
BaFe2P2
1.0
-1.888 1.888 6.056
1.888 -1.888 6.056
1.888 1.888 -6.056
Ba Fe P
1 2 2
direct
0.000 0.000 0.000
0.250 0.750 0.500
0.750 0.250 0.500
0.339 0.339 0.000
0.661 0.661 0.000
```

Results
ΔH_f (0 K) in eV/atom: -0.88
Total magnetic moment in μB/f.u.: 0.0
Crystal system: tetragonal


# 3
Compound: LuMg2Sc
Source: the Alexandria database
Functional: PBEsol
Structure: relaxed

Structure (POSCAR):
```
LuMg2Sc
1.0
0.000 3.624 3.624
3.624 0.000 3.624
3.624 3.624 0.000
Lu Mg Sc
1 2 1
direct
0.000 0.000 0.000
0.250 0.250 0.250
0.750 0.750 0.750
0.500 0.500 0.500
```

Results
ΔH_f (0 K) in eV/atom: -0.02
Total magnetic moment in μB/f.u.: 0.0
Crystal system: cubic


# 4
Compound: Dy2ScNbO7
Source: the Alexandria database
Functional: PBEsol
Structure: relaxed

Structure (POSCAR):
```
Dy2ScNbO7
1.0
-3.599 3.693 5.147
3.599 -3.693 5.147
3.599 3.693 -5.147
Dy Sc Nb O
4 2 2 14
direct
0.000 0.000 0.000
0.500 0.000 0.000
0.500 0.000 0.500
0.500 0.500 0.500
0.000 0.000 0.500
0.000 0.500 0.000
0.000 0.500 0.500
0.500 0.500 0.000
0.097 0.420 0.265
0.097 0.832 0.677
0.101 0.851 0.250
0.325 0.575 0.750
0.345 0.168 0.765
0.345 0.580 0.177
0.378 0.128 0.250
0.622 0.872 0.750
0.655 0.420 0.823
0.655 0.832 0.235
0.675 0.425 0.250
0.899 0.149 0.750
0.903 0.168 0.323
0.903 0.580 0.735
```

Results
Formation energy without anion corrections in meV per atom: -3300
Total magnetic moment in μB/f.u.: 0.0
Crystal system: orthorhombic


# 5
Compound: CdCu2Tc
Source: the Alexandria database
Functional: PBEsol
Structure: relaxed

Structure (POSCAR):
```
CdCu2Tc
1.0
-1.318 2.285 4.613
1.318 -2.285 4.613
1.318 2.285 -4.613
Cd Cu Tc
1 2 1
direct
0.000 0.000 0.000
0.252 0.752 0.500
0.475 0.475 0.000
0.722 0.222 0.500
```

Results
ΔH_f (0 K) in eV/atom: 0.34
Total magnetic moment in μB/f.u.: 0.1
Crystal system: orthorhombic


# 6
Compound: Tl2Cd
Source: the Alexandria database
Functional: PBEsol
Structure: relaxed

Structure (POSCAR):
```
Tl2Cd
1.0
1.976 -7.541 0.000
1.976 7.541 0.000
0.000 0.000 5.248
Tl Cd
4 2
direct
0.084 0.916 0.750
0.238 0.762 0.250
0.762 0.238 0.750
0.916 0.084 0.250
0.425 0.575 0.750
0.575 0.425 0.250
```

Results
ΔH_f (0 K) in eV/atom: 0.06
Energy above the most stable polymorph in this dataset in meV/atom: 19
Total magnetic moment in μB/f.u.: 0.0
Crystal system: orthorhombic